Entry 1:
# PBE NpBe2TeO8, optimized geometry
data_NpBe2TeO8
_cell_length_a 9.732
_cell_length_b 6.009
_cell_length_c 4.764
_cell_angle_alpha 90.00
_cell_angle_beta 98.46
_cell_angle_gamma 90.00
_space_group_name_H-M_alt 'C 1 2/m 1'
_space_group_IT_number 12
_space_group_name_Hall '-C 2y'
loop_
_atom_site_label
_atom_site_fract_x
_atom_site_fract_y
_atom_site_fract_z
_atom_site_occupancy
Np1 0.000 0.000 0.000 1
Be1 0.175 0.500 0.107 1
Te1 0.000 0.500 0.500 1
O1 0.094 0.291 0.262 1
O2 0.150 0.000 0.799 1
O3 0.160 0.500 0.775 1
# Energy relative to the elements, uncorrected ... -2.011 eV/atom
# V ... 137.77 Å³/f.u.
# D(E_F) ... 0.1595 states/eV per atom
# Total DFT energy (no corrections) ... -174.66 eV/cell
# Crystal system ... monoclinic

---

Entry 2:
# PBE SrFeCl4, optimized geometry
data_SrFeCl4
_cell_length_a 8.539
_cell_length_b 8.539
_cell_length_c 8.539
_cell_angle_alpha 90.00
_cell_angle_beta 90.00
_cell_angle_gamma 90.00
_space_group_name_H-M_alt 'F -4 3 m'
_space_group_IT_number 216
_space_group_name_Hall 'F -4 2 3'
loop_
_atom_site_label
_atom_site_fract_x
_atom_site_fract_y
_atom_site_fract_z
_atom_site_occupancy
Sr1 0.000 0.000 0.000 1
Fe1 0.250 0.250 0.250 1
Cl1 0.125 0.125 0.625 1
# Energy relative to the elements, uncorrected ... -0.027 eV/atom
# V ... 155.66 Å³/f.u.
# D(E_F) ... 2.2651 states/eV per atom
# Total DFT energy (no corrections) ... -70.78 eV/cell
# Crystal system ... cubic